# 1
# PrYHo2Se6 (GGA-PBE, relaxed)
# - uncorrected energy (eV/atom) = -5.978
# - total magnetic moment (μB per atom) = 0.00
data_PrYHo2Se6
_chemical_formula_sum 'Pr1 Y1 Ho2 Se6'
_cell_length_a 7.280
_cell_length_b 7.280
_cell_length_c 7.738
_cell_angle_alpha 61.95
_cell_angle_beta 61.95
_cell_angle_gamma 60.00
_space_group_name_H-M_alt 'P 1'
_space_group_IT_number 1
_space_group_name_Hall 'P 1'
loop_
_atom_site_label
_atom_site_fract_x
_atom_site_fract_y
_atom_site_fract_z
Se1 0.228 0.912 0.247
Se2 0.132 0.393 0.748
Se3 0.613 0.228 0.247
Se4 0.393 0.727 0.748
Se5 0.912 0.613 0.247
Se6 0.727 0.132 0.748
Ho1 0.011 0.011 0.966
Ho2 0.515 0.515 0.454
Y1 0.318 0.318 0.047
Pr1 0.812 0.812 0.565

=====

# 2
# Pr3Y2HoSe6 (GGA-PBE, relaxed)
# - uncorrected energy (eV/atom) = -6.202
# - total magnetic moment (μB per atom) = 0.00
data_Pr3Y2HoSe6
_chemical_formula_sum 'Pr3 Y2 Ho1 Se6'
_cell_length_a 7.160
_cell_length_b 7.160
_cell_length_c 7.353
_cell_angle_alpha 99.33
_cell_angle_beta 99.33
_cell_angle_gamma 120.25
_space_group_name_H-M_alt 'P 1'
_space_group_IT_number 1
_space_group_name_Hall 'P 1'
loop_
_atom_site_label
_atom_site_fract_x
_atom_site_fract_y
_atom_site_fract_z
Ho1 0.000 0.000 0.000
Y1 0.333 0.667 0.000
Y2 0.667 0.333 0.000
Se1 0.746 0.746 0.233
Se2 0.923 0.592 0.768
Se3 0.408 0.077 0.232
Se4 0.592 0.923 0.768
Se5 0.254 0.254 0.767
Se6 0.077 0.408 0.232
Pr1 0.168 0.832 0.500
Pr2 0.832 0.168 0.500
Pr3 0.500 0.500 0.500

=====

# 3
# Pr4YHo3Se8 (GGA-PBE, relaxed)
# - uncorrected energy (eV/atom) = -5.993
# - total magnetic moment (μB per atom) = 0.00
data_Pr4YHo3Se8
_chemical_formula_sum 'Pr4 Y1 Ho3 Se8'
_cell_length_a 8.210
_cell_length_b 8.461
_cell_length_c 8.211
_cell_angle_alpha 119.04
_cell_angle_beta 120.00
_cell_angle_gamma 90.00
_space_group_name_H-M_alt 'P 1'
_space_group_IT_number 1
_space_group_name_Hall 'P 1'
loop_
_atom_site_label
_atom_site_fract_x
_atom_site_fract_y
_atom_site_fract_z
Se1 0.257 0.270 0.513
Se2 0.258 0.269 0.014
Se3 0.743 0.730 0.487
Se4 0.244 0.731 0.986
Se5 0.756 0.269 0.511
Se6 0.244 0.731 0.489
Se7 0.742 0.731 0.986
Se8 0.756 0.269 0.014
Y1 0.000 0.500 0.000
Ho1 0.500 0.500 0.000
Ho2 0.000 0.500 0.500
Ho3 0.500 0.500 0.500
Pr1 0.000 0.000 0.000
Pr2 0.500 0.000 0.000
Pr3 0.500 0.000 0.500
Pr4 0.000 0.000 0.500

=====

# 4
# PrYHo2Se4 (GGA-PBE, relaxed)
# - uncorrected energy (eV/atom) = -6.051
# - total magnetic moment (μB per atom) = 0.00
data_PrYHo2Se4
_chemical_formula_sum 'Pr1 Y1 Ho2 Se4'
_cell_length_a 4.052
_cell_length_b 7.233
_cell_length_c 7.114
_cell_angle_alpha 71.35
_cell_angle_beta 90.00
_cell_angle_gamma 90.00
_space_group_name_H-M_alt 'P 1'
_space_group_IT_number 1
_space_group_name_Hall 'P 1'
loop_
_atom_site_label
_atom_site_fract_x
_atom_site_fract_y
_atom_site_fract_z
Se1 0.000 0.236 0.261
Se2 0.500 0.759 0.254
Se3 0.500 0.241 0.746
Se4 0.000 0.764 0.739
Ho1 0.000 0.000 0.000
Ho2 0.500 0.000 0.500
Y1 0.000 0.500 0.500
Pr1 0.500 0.500 0.000

=====

# 5
# Pr3YHo3Se8 (GGA-PBE, relaxed)
# - uncorrected energy (eV/atom) = -6.012
# - total magnetic moment (μB per atom) = 0.00
data_Pr3YHo3Se8
_chemical_formula_sum 'Pr3 Y1 Ho3 Se8'
_cell_length_a 8.238
_cell_length_b 8.238
_cell_length_c 8.340
_cell_angle_alpha 119.59
_cell_angle_beta 90.00
_cell_angle_gamma 120.00
_space_group_name_H-M_alt 'P 1'
_space_group_IT_number 1
_space_group_name_Hall 'P 1'
loop_
_atom_site_label
_atom_site_fract_x
_atom_site_fract_y
_atom_site_fract_z
Pr1 0.500 0.500 0.000
Pr2 0.000 0.000 0.000
Pr3 0.000 0.500 0.000
Se1 0.750 0.012 0.262
Se2 0.744 0.488 0.732
Se3 0.750 0.501 0.262
Se4 0.256 0.512 0.268
Se5 0.738 0.988 0.738
Se6 0.262 0.012 0.262
Se7 0.250 0.988 0.738
Se8 0.250 0.499 0.738
Ho1 0.500 0.500 0.500
Ho2 0.000 0.500 0.500
Ho3 0.500 0.000 0.500
Y1 0.000 0.000 0.500

=====

# 6
# PrY3Ho4Se8 (GGA-PBE, relaxed)
# - uncorrected energy (eV/atom) = -6.143
# - total magnetic moment (μB per atom) = 0.00
data_PrY3Ho4Se8
_chemical_formula_sum 'Pr1 Y3 Ho4 Se8'
_cell_length_a 8.179
_cell_length_b 8.207
_cell_length_c 8.180
_cell_angle_alpha 119.90
_cell_angle_beta 119.99
_cell_angle_gamma 90.00
_space_group_name_H-M_alt 'P 1'
_space_group_IT_number 1
_space_group_name_Hall 'P 1'
loop_
_atom_site_label
_atom_site_fract_x
_atom_site_fract_y
_atom_site_fract_z
Se1 0.256 0.759 0.002
Se2 0.744 0.241 0.487
Se3 0.744 0.241 0.998
Se4 0.254 0.241 0.998
Se5 0.746 0.759 0.002
Se6 0.249 0.247 0.498
Se7 0.751 0.753 0.502
Se8 0.256 0.759 0.513
Ho1 0.000 0.000 0.000
Ho2 0.000 0.000 0.500
Ho3 0.500 0.000 0.500
Ho4 0.500 0.000 0.000
Y1 0.000 0.500 0.500
Y2 0.500 0.500 0.500
Y3 0.500 0.500 0.000
Pr1 0.000 0.500 0.000

=====

# 7
# Pr4Y3HoSe8 (GGA-PBE, relaxed)
# - uncorrected energy (eV/atom) = -6.238
# - total magnetic moment (μB per atom) = 0.00
data_Pr4Y3HoSe8
_chemical_formula_sum 'Pr4 Y3 Ho1 Se8'
_cell_length_a 8.243
_cell_length_b 8.456
_cell_length_c 8.244
_cell_angle_alpha 119.18
_cell_angle_beta 120.00
_cell_angle_gamma 90.00
_space_group_name_H-M_alt 'P 1'
_space_group_IT_number 1
_space_group_name_Hall 'P 1'
loop_
_atom_site_label
_atom_site_fract_x
_atom_site_fract_y
_atom_site_fract_z
Pr1 0.500 0.000 0.500
Pr2 0.500 0.000 0.000
Pr3 0.000 0.000 0.500
Pr4 0.000 0.000 0.000
Y1 0.500 0.500 0.000
Y2 0.500 0.500 0.500
Y3 0.000 0.500 0.500
Se1 0.744 0.733 0.488
Se2 0.757 0.268 0.513
Se3 0.745 0.732 0.988
Se4 0.255 0.268 0.012
Se5 0.757 0.268 0.012
Se6 0.243 0.732 0.487
Se7 0.256 0.267 0.512
Se8 0.243 0.732 0.988
Ho1 0.000 0.500 0.000

=====

# 8
# PrY2HoSe6 (GGA-PBE, relaxed)
# - uncorrected energy (eV/atom) = -6.170
# - total magnetic moment (μB per atom) = 0.00
data_PrY2HoSe6
_chemical_formula_sum 'Pr1 Y2 Ho1 Se6'
_cell_length_a 7.290
_cell_length_b 7.290
_cell_length_c 7.754
_cell_angle_alpha 61.96
_cell_angle_beta 61.96
_cell_angle_gamma 60.00
_space_group_name_H-M_alt 'P 1'
_space_group_IT_number 1
_space_group_name_Hall 'P 1'
loop_
_atom_site_label
_atom_site_fract_x
_atom_site_fract_y
_atom_site_fract_z
Y1 0.516 0.516 0.452
Y2 0.012 0.012 0.964
Se1 0.130 0.397 0.750
Se2 0.723 0.130 0.750
Se3 0.917 0.609 0.247
Se4 0.397 0.723 0.750
Se5 0.226 0.917 0.247
Se6 0.609 0.226 0.247
Ho1 0.318 0.318 0.045
Pr1 0.812 0.812 0.563

=====

# 9
# Pr3Y3HoSe8 (GGA-PBE, relaxed)
# - uncorrected energy (eV/atom) = -6.272
# - total magnetic moment (μB per atom) = 0.00
data_Pr3Y3HoSe8
_chemical_formula_sum 'Pr3 Y3 Ho1 Se8'
_cell_length_a 8.268
_cell_length_b 8.267
_cell_length_c 8.361
_cell_angle_alpha 119.64
_cell_angle_beta 90.00
_cell_angle_gamma 120.00
_space_group_name_H-M_alt 'P 1'
_space_group_IT_number 1
_space_group_name_Hall 'P 1'
loop_
_atom_site_label
_atom_site_fract_x
_atom_site_fract_y
_atom_site_fract_z
Se1 0.248 0.990 0.738
Se2 0.248 0.495 0.738
Se3 0.752 0.505 0.262
Se4 0.258 0.010 0.262
Se5 0.745 0.490 0.735
Se6 0.752 0.010 0.262
Se7 0.255 0.510 0.265
Se8 0.742 0.990 0.738
Pr1 0.500 0.500 0.000
Pr2 0.000 0.000 0.000
Pr3 0.000 0.500 0.000
Y1 0.500 0.500 0.500
Y2 0.000 0.500 0.500
Y3 0.500 0.000 0.500
Ho1 0.000 0.000 0.500

=====

# 10
# Pr2YHoSe4 (GGA-PBE, relaxed)
# - uncorrected energy (eV/atom) = -6.118
# - total magnetic moment (μB per atom) = 0.00
data_Pr2YHoSe4
_chemical_formula_sum 'Pr2 Y1 Ho1 Se4'
_cell_length_a 4.093
_cell_length_b 7.135
_cell_length_c 7.403
_cell_angle_alpha 108.55
_cell_angle_beta 90.00
_cell_angle_gamma 90.00
_space_group_name_H-M_alt 'P 1'
_space_group_IT_number 1
_space_group_name_Hall 'P 1'
loop_
_atom_site_label
_atom_site_fract_x
_atom_site_fract_y
_atom_site_fract_z
Se1 0.000 0.742 0.231
Se2 0.500 0.755 0.768
Se3 0.500 0.245 0.232
Se4 0.000 0.258 0.769
Pr1 0.500 0.000 0.500
Pr2 0.000 0.500 0.500
Y1 0.000 0.000 0.000
Ho1 0.500 0.500 0.000